Compound: SrRu2AuSe
Source: Alexandria
Functional: PBE
Structure: optimized geometry

## Properties
spin magnetization	4.26	Bohr magnetons per cell
space-group type	P4/mmm (123)
energy relative to the elements, uncorrected	0.92	eV/atom
DFT total energy	-4.479	eV/atom
crystal system	tetragonal

abc: 5.037 5.037 5.187
angles: 90.00 90.00 90.00
Fractional coordinates of all 5 atoms:
1 Sr 0.000 0.000 0.000
2 Ru 0.000 0.500 0.500
3 Ru 0.500 0.000 0.500
4 Au 0.500 0.500 0.500
5 Se 0.500 0.500 0.000